Entry A
The following is a GGA-PBE calculation of a relaxed Pm3TmIn crystal, from Alexandria via LeMat-Bulk.

M_tot in μB per atom: 0.000

abc: 5.4444 8.4090 7.0854
angles: 90.00 90.00 90.00
Space group Pmmn (No. 59, origin choice 2)
Unique sites:
Pm1 0.2500 0.0606 0.2225
Pm2 0.2500 0.2500 0.7179
Tm1 0.2500 0.7500 0.5557
In1 0.2500 0.7500 0.9777

***

Entry B
The following is a GGA-PBE calculation of a relaxed Pm3TmIn crystal, from Alexandria via LeMat-Bulk.

M_tot in μB per atom: 0.000

abc: 4.8987 25.3686 4.9003
angles: 90.00 90.00 90.00
Space group Cmcm (No. 63)
Unique sites:
Pm1 0.0000 0.0543 0.2500
Pm2 0.0000 0.2491 0.2500
Pm3 0.0000 0.4465 0.2500
Tm1 0.0000 0.1514 0.7500
In1 0.0000 0.3468 0.7500

***

Need the numbers? Relative energies in kJ/mol of atoms: entry A 8.2; entry B 0.0.

***

Entry A
The following is a GGA-PBE calculation of a relaxed Pm4TmIn2 crystal, from Alexandria via LeMat-Bulk.

M_tot in μB per atom: 0.000

abc: 6.9328 10.0832 12.6458
angles: 90.00 90.00 90.00
Space group Fmmm (No. 69)
Unique sites:
Pm1 0.2500 0.2500 0.0000
Pm2 0.2500 0.2500 0.2500
Tm1 0.0000 0.0000 0.0000
In1 0.0000 0.0000 0.3759

***

Entry B
The following is a GGA-PBE calculation of a relaxed Pm4TmIn2 crystal, from Alexandria via LeMat-Bulk.

M_tot in μB per atom: 0.000

abc: 5.5685 5.5685 26.6791
angles: 90.00 90.00 120.00
Space group R-3m (No. 166, hexagonal axes)
Unique sites:
Pm1 0.0000 0.0000 0.1289
Pm2 0.0000 0.0000 0.2673
Tm1 0.0000 0.0000 0.5000
In1 0.0000 0.0000 0.3865

***

Need the numbers? Relative energies in kJ/mol of atoms: entry A 4.6; entry B 0.0.

***

Entry A
The following is a GGA-PBE calculation of a relaxed Pm2TmIn2 crystal, from Alexandria via LeMat-Bulk.

M_tot in μB per atom: 0.000

abc: 4.9663 17.5144 6.6299
angles: 90.00 90.00 90.00
Space group Cmc2_1 (No. 36)
Unique sites:
Pm1 0.0000 0.0031 0.0000
Pm2 0.0000 0.2044 0.4856
Tm1 0.0000 0.3920 0.2460
In1 0.0000 0.1873 0.9955
In2 0.0000 0.4034 0.7505

***

Entry B
The following is a GGA-PBE calculation of a relaxed Pm2TmIn2 crystal, from Alexandria via LeMat-Bulk.

M_tot in μB per atom: 0.000

abc: 4.5130 4.9093 13.0051
angles: 90.00 99.97 90.00
Space group P2_1/m (No. 11)
Unique sites:
Pm1 0.0490 0.2500 0.0988
Pm2 0.2393 0.2500 0.4791
Tm1 0.1431 0.7500 0.2875
In1 0.3515 0.7500 0.7016
In2 0.4516 0.2500 0.9027

***

Need the numbers? Relative energies in kJ/mol of atoms: entry A 4.6; entry B 0.0.

***

Entry A
The following is a GGA-PBE calculation of a relaxed PmTm2In crystal, from Alexandria via LeMat-Bulk.

M_tot in μB per atom: 0.001

abc: 4.8581 4.8581 4.8180
angles: 90.00 90.00 90.00
Space group P4/mmm (No. 123)
Unique sites:
Pm1 0.0000 0.0000 0.0000
Tm1 0.0000 0.5000 0.5000
In1 0.5000 0.5000 0.0000

***

Entry B
The following is a GGA-PBE calculation of a relaxed PmTm2In crystal, from Alexandria via LeMat-Bulk.

M_tot in μB per atom: 0.000

abc: 3.5552 3.5552 32.7965
angles: 90.00 90.00 120.00
Space group R3m (No. 160, hexagonal axes)
Unique sites:
Pm1 0.0000 0.0000 0.0000
Tm1 0.0000 0.0000 0.2437
Tm2 0.0000 0.0000 0.4226
In1 0.0000 0.0000 0.8334

***

Entry C
The following is a GGA-PBE calculation of a relaxed PmTm2In crystal, from Alexandria via LeMat-Bulk.

M_tot in μB per atom: 0.000

abc: 3.5860 3.5860 9.0813
angles: 90.00 90.00 90.00
Space group P4/mmm (No. 123)
Unique sites:
Pm1 0.0000 0.0000 0.0000
Tm1 0.5000 0.5000 0.2766
In1 0.0000 0.0000 0.5000

***

Need the numbers? Relative energies in kJ/mol of atoms: entry A 0.0; entry B 12.2; entry C 2.0.

***

Entry A
The following is a GGA-PBE calculation of a relaxed Pm6TmIn2 crystal, from Alexandria via LeMat-Bulk.

M_tot in μB per atom: 0.000

abc: 11.1843 4.8469 10.6146
angles: 90.00 108.73 90.00
Space group C2/m (No. 12)
Unique sites:
Pm1 0.0072 0.0000 0.1768
Pm2 0.1695 0.5000 0.3919
Pm3 0.1722 0.5000 0.0540
Tm1 0.0000 0.0000 0.5000
In1 0.1592 0.5000 0.7141

***

Entry B
The following is a GGA-PBE calculation of a relaxed Pm6TmIn2 crystal, from Alexandria via LeMat-Bulk.

M_tot in μB per atom: 0.000

abc: 17.3990 9.4066 3.4573
angles: 90.00 101.36 90.00
Space group C2/m (No. 12)
Unique sites:
Pm1 0.0000 0.1644 0.0000
Pm2 0.1697 0.3142 0.1689
Tm1 0.0000 0.5000 0.5000
In1 0.1534 0.0000 0.6512

***

Need the numbers? Relative energies in kJ/mol of atoms: entry A 0.0; entry B 13.6.

***

Entry A
The following is a GGA-PBE calculation of a relaxed Pm2Tm2In3 crystal, from Alexandria via LeMat-Bulk.

M_tot in μB per atom: 0.000

abc: 3.7507 6.7620 9.0641
angles: 68.32 89.97 73.94
Space group P-1 (No. 2)
Unique sites:
Pm1 0.1132 0.2714 0.4508
Tm1 0.3725 0.7548 0.1796
In1 0.0000 0.5000 0.0000
In2 0.3185 0.8646 0.7946

***

Entry B
The following is a GGA-PBE calculation of a relaxed Pm2Tm2In3 crystal, from Alexandria via LeMat-Bulk.

M_tot in μB per atom: 0.000

abc: 4.5962 24.8117 3.4490
angles: 90.00 90.00 90.00
Space group Cmmm (No. 65)
Unique sites:
Pm1 0.0000 0.0718 0.0000
Tm1 0.0000 0.2034 0.0000
In1 0.0000 0.3507 0.5000
In2 0.0000 0.5000 0.5000

***

Need the numbers? Relative energies in kJ/mol of atoms: entry A 3.0; entry B 0.0.